#i
An optimized crystal structure of Ca3GeRu. Source: the Alexandria database, functional GGA-PBE.

The structure in CIF format:
```
data_Ca3GeRu
_space_group_name_H-M_alt 'P m -3 m'
_space_group_IT_number 221
_space_group_name_Hall '-P 4 2 3'
_cell_length_a 5.553
_cell_length_b 5.553
_cell_length_c 5.553
_cell_angle_alpha 90.00
_cell_angle_beta 90.00
_cell_angle_gamma 90.00
loop_
_atom_site_label
_atom_site_type_symbol
_atom_site_fract_x
_atom_site_fract_y
_atom_site_fract_z
_atom_site_occupancy
Ca1 Ca 0.000 0.000 0.500 1
Ge1 Ge 0.000 0.000 0.000 1
Ru1 Ru 0.500 0.500 0.500 1
```

#ii
An optimized crystal structure of Ca3GeRu. Source: the Alexandria database, functional GGA-PBE.

The structure in CIF format:
```
data_Ca3GeRu
_space_group_name_H-M_alt 'P m -3 m'
_space_group_IT_number 221
_space_group_name_Hall '-P 4 2 3'
_cell_length_a 5.285
_cell_length_b 5.285
_cell_length_c 5.285
_cell_angle_alpha 90.00
_cell_angle_beta 90.00
_cell_angle_gamma 90.00
loop_
_atom_site_label
_atom_site_type_symbol
_atom_site_fract_x
_atom_site_fract_y
_atom_site_fract_z
_atom_site_occupancy
Ca1 Ca 0.000 0.000 0.500 1
Ge1 Ge 0.500 0.500 0.500 1
Ru1 Ru 0.000 0.000 0.000 1
```

Most stable: #ii. Least stable: #i.

#i
An optimized crystal structure of Ca2GeS. Source: the Alexandria database, functional GGA-PBE.

The structure in CIF format:
```
data_Ca2GeS
_space_group_name_H-M_alt 'I -4 2 d'
_space_group_IT_number 122
_space_group_name_Hall 'I -4 2bw'
_cell_length_a 7.625
_cell_length_b 7.625
_cell_length_c 7.574
_cell_angle_alpha 90.00
_cell_angle_beta 90.00
_cell_angle_gamma 90.00
loop_
_atom_site_label
_atom_site_type_symbol
_atom_site_fract_x
_atom_site_fract_y
_atom_site_fract_z
_atom_site_occupancy
Ca1 Ca 0.219 0.250 0.125 1
Ge1 Ge 0.000 0.000 0.500 1
S1 S 0.000 0.000 0.000 1
```

#ii
An optimized crystal structure of Ca2GeS. Source: the Alexandria database, functional GGA-PBE.

The structure in CIF format:
```
data_Ca2GeS
_space_group_name_H-M_alt 'F m -3 m'
_space_group_IT_number 225
_space_group_name_Hall '-F 4 2 3'
_cell_length_a 7.218
_cell_length_b 7.218
_cell_length_c 7.218
_cell_angle_alpha 90.00
_cell_angle_beta 90.00
_cell_angle_gamma 90.00
loop_
_atom_site_label
_atom_site_type_symbol
_atom_site_fract_x
_atom_site_fract_y
_atom_site_fract_z
_atom_site_occupancy
Ca1 Ca 0.250 0.250 0.250 1
Ge1 Ge 0.000 0.000 0.000 1
S1 S 0.000 0.000 0.500 1
```

Most stable: #i. Least stable: #ii.

#i
An optimized crystal structure of CaSiGeS. Source: the Alexandria database, functional GGA-PBE.

The structure in CIF format:
```
data_CaSiGeS
_space_group_name_H-M_alt 'P 3 m 1'
_space_group_IT_number 156
_space_group_name_Hall 'P 3 -2"'
_cell_length_a 3.9996
_cell_length_b 3.9996
_cell_length_c 6.7401
_cell_angle_alpha 90.00
_cell_angle_beta 90.00
_cell_angle_gamma 120.00
loop_
_atom_site_label
_atom_site_type_symbol
_atom_site_fract_x
_atom_site_fract_y
_atom_site_fract_z
_atom_site_occupancy
Ca1 Ca 0.0000 0.0000 0.0000 1
Si1 Si 0.3333 0.6667 0.4610 1
Ge1 Ge 0.6667 0.3333 0.3299 1
S1 S 0.3333 0.6667 0.7873 1
```

#ii
An optimized crystal structure of CaSiGeS. Source: the Alexandria database, functional GGA-PBE.

The structure in CIF format:
```
data_CaSiGeS
_space_group_name_H-M_alt 'R 3 m'
_space_group_IT_number 160
_space_group_name_Hall 'R 3 -2"'
_cell_length_a 4.0125
_cell_length_b 4.0125
_cell_length_c 20.8120
_cell_angle_alpha 90.00
_cell_angle_beta 90.00
_cell_angle_gamma 120.00
loop_
_atom_site_label
_atom_site_type_symbol
_atom_site_fract_x
_atom_site_fract_y
_atom_site_fract_z
_atom_site_occupancy
Ca1 Ca 0.0000 0.0000 0.0000 1
Si1 Si 0.0000 0.0000 0.7793 1
Ge1 Ge 0.0000 0.0000 0.1558 1
S1 S 0.0000 0.0000 0.2670 1
```

Most stable: #i. Least stable: #ii.

#i
An optimized crystal structure of CaSiGeS. Source: the Alexandria database, functional GGA-PBE.

The structure in CIF format:
```
data_CaSiGeS
_space_group_name_H-M_alt 'A m m 2'
_space_group_IT_number 38
_space_group_name_Hall 'A 2 -2'
_cell_length_a 3.811
_cell_length_b 3.540
_cell_length_c 13.283
_cell_angle_alpha 90.00
_cell_angle_beta 90.00
_cell_angle_gamma 90.00
loop_
_atom_site_label
_atom_site_type_symbol
_atom_site_fract_x
_atom_site_fract_y
_atom_site_fract_z
_atom_site_occupancy
Ca1 Ca 0.000 0.000 0.000 1
Si1 Si 0.000 0.000 0.701 1
Ge1 Ge 0.500 0.000 0.255 1
S1 S 0.500 0.000 0.434 1
```

#ii
An optimized crystal structure of CaSiGeS. Source: the Alexandria database, functional GGA-PBE.

The structure in CIF format:
```
data_CaSiGeS
_space_group_name_H-M_alt 'C 1 m 1'
_space_group_IT_number 8
_space_group_name_Hall 'C -2y'
_cell_length_a 7.551
_cell_length_b 4.402
_cell_length_c 6.463
_cell_angle_alpha 90.00
_cell_angle_beta 112.53
_cell_angle_gamma 90.00
loop_
_atom_site_label
_atom_site_type_symbol
_atom_site_fract_x
_atom_site_fract_y
_atom_site_fract_z
_atom_site_occupancy
Ca1 Ca 0.000 0.000 0.000 1
Si1 Si 0.322 0.500 0.470 1
Ge1 Ge 0.443 0.000 0.333 1
S1 S 0.305 0.000 0.909 1
```

Most stable: #i. Least stable: #ii.

#i
An optimized crystal structure of CaSiGeS. Source: the Alexandria database, functional GGA-PBE.

The structure in CIF format:
```
data_CaSiGeS
_space_group_name_H-M_alt 'P 1 m 1'
_space_group_IT_number 6
_space_group_name_Hall 'P -2y'
_cell_length_a 3.558
_cell_length_b 3.811
_cell_length_c 6.708
_cell_angle_alpha 90.00
_cell_angle_beta 104.64
_cell_angle_gamma 90.00
loop_
_atom_site_label
_atom_site_type_symbol
_atom_site_fract_x
_atom_site_fract_y
_atom_site_fract_z
_atom_site_occupancy
Ca1 Ca 0.000 0.000 0.000 1
Si1 Si 0.306 0.500 0.521 1
Ge1 Ge 0.702 0.000 0.407 1
S1 S 0.436 0.500 0.864 1
```

#ii
An optimized crystal structure of CaSiGeS. Source: the Alexandria database, functional GGA-PBE.

The structure in CIF format:
```
data_CaSiGeS
_space_group_name_H-M_alt 'R 3 m'
_space_group_IT_number 160
_space_group_name_Hall 'R 3 -2"'
_cell_length_a 4.3964
_cell_length_b 4.3964
_cell_length_c 17.8373
_cell_angle_alpha 90.00
_cell_angle_beta 90.00
_cell_angle_gamma 120.00
loop_
_atom_site_label
_atom_site_type_symbol
_atom_site_fract_x
_atom_site_fract_y
_atom_site_fract_z
_atom_site_occupancy
Ca1 Ca 0.0000 0.0000 0.0000 1
Si1 Si 0.0000 0.0000 0.5663 1
Ge1 Ge 0.0000 0.0000 0.1813 1
S1 S 0.0000 0.0000 0.6976 1
```

#iii
An optimized crystal structure of CaSiGeS. Source: the Alexandria database, functional GGA-PBE.

The structure in CIF format:
```
data_CaSiGeS
_space_group_name_H-M_alt 'R 3 m'
_space_group_IT_number 160
_space_group_name_Hall 'R 3 -2"'
_cell_length_a 3.9766
_cell_length_b 3.9766
_cell_length_c 20.5692
_cell_angle_alpha 90.00
_cell_angle_beta 90.00
_cell_angle_gamma 120.00
loop_
_atom_site_label
_atom_site_type_symbol
_atom_site_fract_x
_atom_site_fract_y
_atom_site_fract_z
_atom_site_occupancy
Ca1 Ca 0.0000 0.0000 0.0000 1
Si1 Si 0.0000 0.0000 0.5121 1
Ge1 Ge 0.0000 0.0000 0.2220 1
S1 S 0.0000 0.0000 0.4050 1
```

Most stable: #iii. Least stable: #ii.

#i
An optimized crystal structure of CaGeSb. Source: the Alexandria database, functional GGA-PBE.

The structure in CIF format:
```
data_CaGeSb
_space_group_name_H-M_alt 'P -6 m 2'
_space_group_IT_number 187
_space_group_name_Hall 'P -6 2'
_cell_length_a 4.8133
_cell_length_b 4.8133
_cell_length_c 4.1550
_cell_angle_alpha 90.00
_cell_angle_beta 90.00
_cell_angle_gamma 120.00
loop_
_atom_site_label
_atom_site_type_symbol
_atom_site_fract_x
_atom_site_fract_y
_atom_site_fract_z
_atom_site_occupancy
Ca1 Ca 0.0000 0.0000 0.0000 1
Ge1 Ge 0.3333 0.6667 0.5000 1
Sb1 Sb 0.6667 0.3333 0.5000 1
```

#ii
An optimized crystal structure of CaGeSb. Source: the Alexandria database, functional GGA-PBE.

The structure in CIF format:
```
data_CaGeSb
_space_group_name_H-M_alt 'I 4/m m m'
_space_group_IT_number 139
_space_group_name_Hall '-I 4 2'
_cell_length_a 4.266
_cell_length_b 4.266
_cell_length_c 18.765
_cell_angle_alpha 90.00
_cell_angle_beta 90.00
_cell_angle_gamma 90.00
loop_
_atom_site_label
_atom_site_type_symbol
_atom_site_fract_x
_atom_site_fract_y
_atom_site_fract_z
_atom_site_occupancy
Ca1 Ca 0.000 0.000 0.111 1
Ge1 Ge 0.000 0.000 0.429 1
Sb1 Sb 0.000 0.000 0.284 1
```

Most stable: #i. Least stable: #ii.